## DyPuPa2C4 (PBE)

Data for an optimized crystal structure of DyPuPa2C4.

a = 7.2019 Å, b = 7.2032 Å, c = 10.1612 Å
α = 90.00°, β = 90.00°, γ = 90.00°
Space group Imma (No. 74)
Inequivalent atoms, fractional coordinates:
Dy 0.2500 0.2500 0.2500
Pu 0.0000 0.0000 0.0000
Pa 0.0000 0.0000 0.5000
Pa 0.2500 0.2500 0.7500
C 0.0000 0.0146 0.7467
C 0.2407 0.2500 0.5061

Output
electronic total energy: -308.2 eV for the cell shown
crystal system: orthorhombic
E_form: -0.2775 eV/atom

=====

## PaTiMo2 (PBE)

Data for an optimized crystal structure of PaTiMo2.

a = 3.3462 Å, b = 3.3462 Å, c = 6.4611 Å
α = 90.00°, β = 90.00°, γ = 90.00°
Space group P4/mmm (No. 123)
Inequivalent atoms, fractional coordinates:
Pa 0.0000 0.0000 0.0000
Ti 0.0000 0.0000 0.5000
Mo 0.5000 0.5000 0.2546

Output
electronic total energy: -39.0 eV for the cell shown
crystal system: tetragonal
E_form: 0.0155 eV/atom

=====

## CaNbCu (PBE)

Data for an optimized crystal structure of CaNbCu.

a = 4.6920 Å, b = 8.1395 Å, c = 6.2077 Å
α = 90.00°, β = 90.00°, γ = 90.00°
Space group Cmcm (No. 63)
Inequivalent atoms, fractional coordinates:
Ca 0.0000 0.0000 0.0000
Nb 0.0000 0.3330 0.2500
Cu 0.0000 0.3334 0.7500

Output
electronic total energy: -57.6 eV for the cell shown
crystal system: orthorhombic
E_form: 0.5850 eV/atom

=====

## LiThCuH6 (PBE)

Data for an optimized crystal structure of LiThCuH6.

a = 4.4193 Å, b = 4.4193 Å, c = 4.4172 Å
α = 90.00°, β = 90.00°, γ = 120.00°
Space group P-6m2 (No. 187)
Inequivalent atoms, fractional coordinates:
Li 0.0000 0.0000 0.0000
Th 0.6667 0.3333 0.5000
Cu 0.3333 0.6667 0.0000
H 0.1703 0.3405 0.2823

Output
electronic total energy: -35.5 eV for the cell shown
crystal system: hexagonal

=====

## Ho2ErScTl4 (PBE)

Data for an optimized crystal structure of Ho2ErScTl4.

a = 5.2817 Å, b = 5.2817 Å, c = 25.9652 Å
α = 90.00°, β = 90.00°, γ = 120.00°
Space group R-3m (No. 166, hexagonal axes)
Inequivalent atoms, fractional coordinates:
Ho 0.0000 0.0000 0.2489
Er 0.0000 0.0000 0.0000
Sc 0.0000 0.0000 0.5000
Tl 0.0000 0.0000 0.1262
Tl 0.0000 0.0000 0.3764

Output
electronic total energy: -95.7 eV for the cell shown
crystal system: trigonal
E_form: -0.2980 eV/atom

=====

## FeTcNiPd (PBE)

Data for an optimized crystal structure of FeTcNiPd.

a = 5.9528 Å, b = 5.9528 Å, c = 5.9528 Å
α = 90.00°, β = 90.00°, γ = 90.00°
Space group F-43m (No. 216)
Inequivalent atoms, fractional coordinates:
Fe 0.0000 0.0000 0.0000
Tc 0.2500 0.2500 0.2500
Ni 0.0000 0.0000 0.5000
Pd 0.2500 0.2500 0.7500

Output
electronic total energy: -116.9 eV for the cell shown
crystal system: cubic
E_form: 0.1436 eV/atom

=====

## K2RhO2 (PBE)

Data for an optimized crystal structure of K2RhO2.

a = 5.7287 Å, b = 10.0810 Å, c = 3.1553 Å
α = 90.00°, β = 90.00°, γ = 90.00°
Space group Pbam (No. 55)
Inequivalent atoms, fractional coordinates:
K 0.0120 0.1747 0.0000
Rh 0.0000 0.5000 0.0000
O 0.1171 0.6130 0.5000

Output
electronic total energy: -48.2 eV for the cell shown
crystal system: orthorhombic

=====

## BaGaSiAu2 (PBE)

Data for an optimized crystal structure of BaGaSiAu2.

a = 5.0073 Å, b = 5.0073 Å, c = 5.0541 Å
α = 90.00°, β = 90.00°, γ = 90.00°
Space group P4/mmm (No. 123)
Inequivalent atoms, fractional coordinates:
Ba 0.0000 0.0000 0.0000
Ga 0.5000 0.5000 0.0000
Si 0.5000 0.5000 0.5000
Au 0.0000 0.5000 0.5000

Output
electronic total energy: -18.5 eV for the cell shown
crystal system: tetragonal